# 1
The following is a DFT calculation (GGA-PBE) of crystalline FeCuTcNi2 at its relaxed geometry.

Results
density of states at the Fermi level	1.153	states/eV per atom
ΔH_f (0 K)	1448	meV/atom

Unit cell a=4.470 b=4.334 c=4.470 alpha=90.00 beta=90.00 gamma=90.00
Site moments in Bohr magnetons follow the coordinates.
Atoms (fractional coordinates):
Ni: 0.000 0.000 0.500  -0.17
Ni: 0.500 0.000 0.000  -0.03
Tc: 0.000 0.000 0.000  -0.11
Cu: 0.500 0.500 0.500  0.01
Fe: 0.000 0.500 0.000  1.79

# 2
The following is a DFT calculation (GGA-PBE) of crystalline Y2Ho6Er5 at its relaxed geometry.

Results
density of states at the Fermi level	1.254	states/eV per atom
ΔH_f (0 K)	99	meV/atom

Unit cell a=3.551 b=11.577 c=20.003 alpha=90.00 beta=90.00 gamma=90.00
Atoms (fractional coordinates):
Y: 0.000 0.336 0.289
Y: 0.000 0.664 0.711
Y: 0.000 0.836 0.211
Y: 0.000 0.164 0.789
Ho: 0.000 0.083 0.368
Ho: 0.000 0.917 0.632
Ho: 0.000 0.583 0.132
Ho: 0.000 0.417 0.868
Ho: 0.500 0.327 0.132
Ho: 0.500 0.673 0.868
Ho: 0.500 0.827 0.368
Ho: 0.500 0.173 0.632
Ho: 0.000 0.558 0.420
Ho: 0.000 0.442 0.580
Ho: 0.000 0.058 0.080
Ho: 0.000 0.942 0.920
Er: 0.500 0.301 0.450
Er: 0.500 0.699 0.550
Er: 0.500 0.801 0.050
Er: 0.500 0.199 0.950
Er: 0.500 0.594 0.275
Er: 0.500 0.406 0.725
Er: 0.500 0.094 0.225
Er: 0.500 0.906 0.775
Er: 0.500 0.500 0.000
Er: 0.500 0.000 0.500

# 3
The following is a DFT calculation (GGA-PBE) of crystalline LiNd2Ga3Cu4 at its relaxed geometry.

Results
density of states at the Fermi level	0.552	states/eV per atom
ΔH_f (0 K)	-359	meV/atom

Unit cell a=4.240 b=4.240 c=10.103 alpha=90.00 beta=90.00 gamma=90.00
Atoms (fractional coordinates):
Li: 0.500 0.500 0.500
Nd: 0.500 0.000 0.237
Nd: 0.000 0.500 0.763
Ga: 0.000 0.000 0.500
Ga: 0.500 0.000 0.871
Ga: 0.000 0.500 0.129
Cu: 0.500 0.500 0.000
Cu: 0.000 0.000 0.000
Cu: 0.500 0.000 0.630
Cu: 0.000 0.500 0.370

# 4
The following is a DFT calculation (GGA-PBE) of crystalline KAlP4O12 at its relaxed geometry.

Results
density of states at the Fermi level	0.000	states/eV per atom
DFT total energy	-255.94	eV per cell

Unit cell a=10.444 b=10.444 c=5.151 alpha=81.85 beta=81.85 gamma=72.66
Atoms (fractional coordinates):
Al: 0.500 0.000 0.000
Al: 0.000 0.500 0.000
K: 0.407 0.407 0.742
K: 0.593 0.593 0.258
O: 0.648 0.913 0.757
O: 0.087 0.352 0.243
O: 0.352 0.087 0.243
O: 0.913 0.648 0.757
O: 0.425 0.857 0.013
O: 0.143 0.575 0.987
O: 0.575 0.143 0.987
O: 0.857 0.425 0.013
O: 0.399 0.097 0.714
O: 0.903 0.601 0.286
O: 0.601 0.903 0.286
O: 0.097 0.399 0.714
O: 0.290 0.922 0.615
O: 0.078 0.710 0.385
O: 0.710 0.078 0.385
O: 0.922 0.290 0.615
O: 0.431 0.678 0.714
O: 0.322 0.569 0.286
O: 0.569 0.322 0.286
O: 0.678 0.431 0.714
O: 0.214 0.786 0.000
O: 0.786 0.214 0.000
O: 0.159 0.159 0.594
O: 0.841 0.841 0.406
P: 0.311 0.068 0.534
P: 0.932 0.689 0.466
P: 0.689 0.932 0.466
P: 0.068 0.311 0.534
P: 0.354 0.801 0.836
P: 0.199 0.646 0.164
P: 0.646 0.199 0.164
P: 0.801 0.354 0.836

# 5
The following is a DFT calculation (GGA-PBE) of crystalline IrRh2Br at its relaxed geometry.

Results
density of states at the Fermi level	1.576	states/eV per atom
relative energy among the computed polymorphs	9.42	kJ/mol of atoms

Unit cell a=2.881 b=2.881 c=7.707 alpha=90.00 beta=90.00 gamma=90.00
Atoms (fractional coordinates):
Ir: 0.500 0.500 0.750
Rh: 0.000 0.000 0.980
Rh: 0.000 0.000 0.520
Br: 0.500 0.500 0.250

# 6
The following is a DFT calculation (GGA-PBE) of crystalline AcTbIr at its relaxed geometry.

Results
density of states at the Fermi level	1.078	states/eV per atom
relative energy among the computed polymorphs	17.78	kJ/mol of atoms
ΔH_f (0 K)	-419	meV/atom

Unit cell a=3.642 b=3.642 c=7.162 alpha=104.73 beta=104.73 gamma=90.00
Atoms (fractional coordinates):
Ac: 0.320 0.320 0.639
Ir: 0.961 0.961 0.921
Tb: 0.570 0.570 0.140